No. 1
A plane-wave DFT calculation with GGA-PBE was carried out for Mn2Re2S after structural relaxation.

Unit cell a=7.163 b=7.163 c=2.751 alpha=90.00 beta=90.00 gamma=90.00
Positions (direct):
Mn: 0.136 0.364 0.000
Mn: 0.364 0.864 0.000
Mn: 0.636 0.136 0.000
Mn: 0.864 0.636 0.000
Re: 0.151 0.651 0.500
Re: 0.349 0.151 0.500
Re: 0.651 0.849 0.500
Re: 0.849 0.349 0.500
S: 0.000 0.000 0.500
S: 0.500 0.500 0.500

The energy relative to the elements, uncorrected is 0.472 eV/atom. As for the space group: P4/mbm. The value obtained for the total DFT energy (no corrections) is -90.00 eV/cell. The value obtained for the density is 12.103 Mg/m³. Its polymorph energy (0 for the lowest one) is 29 meV per atom.

No. 2
A plane-wave DFT calculation with GGA-PBE was carried out for MnReS after structural relaxation.

Unit cell a=4.440 b=4.440 c=4.440 alpha=47.67 beta=47.67 gamma=47.67
Positions (direct):
Mn: 0.000 0.000 0.000
Re: 0.232 0.232 0.232
S: 0.432 0.432 0.432

The energy relative to the elements, uncorrected is 0.346 eV/atom. As for the space group: R3m. The value obtained for the total DFT energy (no corrections) is -24.71 eV/cell. The value obtained for the density is 10.360 Mg/m³. Its polymorph energy (0 for the lowest one) is 485 meV per atom.

No. 3
A plane-wave DFT calculation with GGA-PBE was carried out for MnReS after structural relaxation.

Unit cell a=2.738 b=2.738 c=11.495 alpha=90.00 beta=90.00 gamma=90.00
Positions (direct):
Mn: 0.250 0.250 0.250
Mn: 0.750 0.750 0.750
Re: 0.250 0.250 0.586
Re: 0.750 0.750 0.414
S: 0.250 0.250 0.855
S: 0.750 0.750 0.145

The energy relative to the elements, uncorrected is -0.139 eV/atom. As for the space group: P4/nmm. The value obtained for the total DFT energy (no corrections) is -52.33 eV/cell. The value obtained for the density is 10.526 Mg/m³. Its polymorph energy (0 for the lowest one) is 0 meV per atom.

Copy entry 2 word for word.
A plane-wave DFT calculation with GGA-PBE was carried out for MnReS after structural relaxation.

Unit cell a=4.440 b=4.440 c=4.440 alpha=47.67 beta=47.67 gamma=47.67
Positions (direct):
Mn: 0.000 0.000 0.000
Re: 0.232 0.232 0.232
S: 0.432 0.432 0.432

The energy relative to the elements, uncorrected is 0.346 eV/atom. As for the space group: R3m. The value obtained for the total DFT energy (no corrections) is -24.71 eV/cell. The value obtained for the density is 10.360 Mg/m³. Its polymorph energy (0 for the lowest one) is 485 meV per atom.

What did the third record say?
A plane-wave DFT calculation with GGA-PBE was carried out for MnReS after structural relaxation.

Unit cell a=2.738 b=2.738 c=11.495 alpha=90.00 beta=90.00 gamma=90.00
Positions (direct):
Mn: 0.250 0.250 0.250
Mn: 0.750 0.750 0.750
Re: 0.250 0.250 0.586
Re: 0.750 0.750 0.414
S: 0.250 0.250 0.855
S: 0.750 0.750 0.145

The energy relative to the elements, uncorrected is -0.139 eV/atom. As for the space group: P4/nmm. The value obtained for the total DFT energy (no corrections) is -52.33 eV/cell. The value obtained for the density is 10.526 Mg/m³. Its polymorph energy (0 for the lowest one) is 0 meV per atom.

Which of these has the highest energy relative to the elements, uncorrected?
Mn2Re2S

polymorph energy (0 for the lowest one) of number 3 (MnReS)?
0 meV per atom